Entry from Alexandria via LeMat-Bulk: Sr2AcTl after structural relaxation (GGA-PBE).

The structure in extended XYZ format:
```
4
Lattice="-3.460 3.769 -2.539 -3.662 -0.844 3.736 2.090 3.891 2.928" Properties=species:S:1:pos:R:3 pbc="T T T"
Sr -1.831 -0.422 1.868
Sr 1.045 1.945 1.464
Ac -2.516 3.408 2.062
Tl -1.730 1.885 -1.269
```

Computed properties:
Fermi-level density of states (states/eV/f.u.): 2.246
Electronic total energy (eV/atom): -2.57



Entry from Alexandria via LeMat-Bulk: Sr3AcTl4 after structural relaxation (GGA-PBE).

The structure in extended XYZ format:
```
8
Lattice="-4.531 -0.048 3.636 2.451 -4.331 2.998 4.862 7.695 1.519" Properties=species:S:1:pos:R:3 pbc="T T T"
Tl -0.084 -0.811 4.527
Tl 0.957 1.377 1.211
Tl 1.825 1.940 6.942
Tl 2.866 4.127 3.626
Ac -2.266 -0.024 1.818
Sr 3.123 0.569 3.900
Sr 1.226 -2.165 1.499
Sr -0.342 2.748 4.253
```

Computed properties:
Fermi-level density of states (states/eV/f.u.): 5.780
Electronic total energy (eV/atom): -2.74



Entry from Alexandria via LeMat-Bulk: SrAcTmTl after structural relaxation (GGA-PBE).

The structure in extended XYZ format:
```
4
Lattice="-4.637 -2.345 -2.728 0.795 -3.655 -4.522 -1.179 -5.717 0.606" Properties=species:S:1:pos:R:3 pbc="T T T"
Sr -3.765 -8.788 -4.982
Tl 0.000 0.000 0.000
Tm -1.255 -2.929 -1.661
Ac -2.510 -5.859 -3.322
```

Computed properties:
Fermi-level density of states (states/eV/f.u.): 6.316
Electronic total energy (eV/atom): -3.03